Material: Pm3DyO6
Method: DFT, PBE
State: relaxed

Summary:
**Electronic total energy**: -8.317 eV/atom
**Space group**: R-3
**Energy relative to the elements, uncorrected**: -3.46 eV per atom
**Offset from the most stable computed form**: 0.000 eV per atom

POSCAR file:
```
Pm3DyO6
1.0
6.916 -0.031 -0.180
-0.184 6.914 -0.180
-0.030 -0.031 6.918
O Dy Pm
12 2 6
direct
0.311 0.908 0.067
0.092 0.933 0.689
0.532 0.402 0.188
0.402 0.188 0.532
0.933 0.689 0.092
0.067 0.311 0.908
0.689 0.092 0.933
0.908 0.067 0.311
0.188 0.532 0.402
0.812 0.468 0.598
0.598 0.812 0.468
0.468 0.598 0.812
0.000 0.000 0.000
0.500 0.500 0.500
0.748 0.444 0.937
0.444 0.937 0.748
0.252 0.556 0.063
0.937 0.748 0.444
0.063 0.252 0.556
0.556 0.063 0.252
```

=====

Material: NaUTl2I6
Method: DFT, PBE
State: relaxed

Summary:
**Electronic total energy**: -3.501 eV/atom
**Space group**: P2_1/c
**Energy relative to the elements, uncorrected**: -0.84 eV per atom

POSCAR file:
```
NaUTl2I6
1.0
8.166 0.000 -0.159
0.000 8.847 0.000
-0.155 0.000 11.925
I U Tl Na
12 2 4 2
direct
0.813 0.815 0.942
0.825 0.802 0.564
0.175 0.198 0.436
0.367 0.964 0.752
0.687 0.315 0.558
0.675 0.302 0.936
0.633 0.036 0.248
0.325 0.698 0.064
0.867 0.536 0.252
0.187 0.185 0.058
0.313 0.685 0.442
0.133 0.464 0.748
0.500 0.000 0.000
0.000 0.500 0.500
0.040 0.903 0.240
0.960 0.097 0.760
0.540 0.597 0.740
0.460 0.403 0.260
0.500 0.000 0.500
0.000 0.500 0.000
```

=====

Material: CuAgRh2
Method: DFT, PBE
State: relaxed

Summary:
**Electronic total energy**: -5.187 eV/atom
**Space group**: I-4m2
**Formation energy**: 0.90 eV per formula unit
**Offset from the most stable computed form**: 0.114 eV per atom

POSCAR file:
```
CuAgRh2
1.0
4.719 0.031 0.000
1.436 4.495 0.000
-3.078 -2.263 2.770
Rh Cu Ag
2 1 1
direct
0.250 0.750 0.500
0.000 0.000 0.000
0.750 0.250 0.500
0.500 0.500 0.000
```

=====

Material: Ca6In3H
Method: DFT, PBE
State: relaxed

Summary:
**Electronic total energy**: -2.630 eV/atom
**Space group**: Cmc2_1

POSCAR file:
```
Ca6In3H
1.0
-3.498 4.452 5.995
-6.499 2.493 -5.644
-3.092 -7.515 3.778
Ca H In
12 2 6
direct
0.758 0.224 0.776
0.646 0.913 0.424
0.635 0.960 0.040
0.713 0.322 0.345
0.213 0.345 0.322
0.213 0.678 0.655
0.713 0.655 0.678
0.135 0.040 0.960
0.146 0.424 0.913
0.146 0.087 0.576
0.258 0.776 0.224
0.646 0.576 0.087
0.027 0.191 0.809
0.527 0.809 0.191
0.953 0.024 0.266
0.953 0.734 0.976
0.453 0.976 0.734
0.453 0.266 0.024
0.442 0.355 0.645
0.942 0.645 0.355
```

=====

Material: MgTc2Sb
Method: DFT, PBE
State: relaxed

Summary:
**Electronic total energy**: -6.419 eV/atom
**Space group**: Pm
**Energy relative to the elements, uncorrected**: 0.19 eV per atom
**Offset from the most stable computed form**: 0.146 eV per atom

POSCAR file:
```
MgTc2Sb
1.0
4.285 0.000 0.000
0.000 3.210 -0.003
0.000 1.603 5.224
Tc Sb Mg
2 1 1
direct
0.500 0.066 0.243
0.000 0.180 0.012
0.500 0.794 0.785
0.000 0.459 0.459
```

=====

Material: NaPm2DyS4
Method: DFT, PBE
State: relaxed

Summary:
**Electronic total energy**: -5.909 eV/atom
**Space group**: P2/m
**Energy relative to the elements, uncorrected**: -1.92 eV per atom

POSCAR file:
```
NaPm2DyS4
1.0
-0.573 -1.441 -3.673
-1.733 -6.152 2.683
-5.701 3.896 -0.640
Na S Pm Dy
1 4 2 1
direct
0.000 0.000 0.000
0.500 0.746 0.753
0.500 0.254 0.247
0.000 0.256 0.760
0.000 0.744 0.240
0.000 0.500 0.500
0.500 0.000 0.500
0.500 0.500 0.000
```

=====

Material: La2Br2Cl
Method: DFT, PBE
State: relaxed

Summary:
**Electronic total energy**: -4.573 eV/atom
**Space group**: P4/mbm
**Energy relative to the elements, uncorrected**: -1.56 eV per atom
**Offset from the most stable computed form**: 0.129 eV per atom

POSCAR file:
```
La2Br2Cl
1.0
-6.780 -3.342 -1.444
2.534 -2.140 -6.944
1.696 -4.277 1.937
Br La Cl
4 4 2
direct
0.341 0.159 0.500
0.659 0.841 0.500
0.159 0.659 0.500
0.841 0.341 0.500
0.664 0.164 0.000
0.836 0.664 0.000
0.336 0.836 0.000
0.164 0.336 0.000
0.000 0.000 0.000
0.500 0.500 0.000
```

=====

Material: Y2MgZnCo
Method: DFT, PBE
State: relaxed

Summary:
**Electronic total energy**: -4.611 eV/atom
**Space group**: P4/mmm
**Formation energy**: -0.15 eV per formula unit

POSCAR file:
```
Y2MgZnCo
1.0
5.083 0.000 0.000
0.000 5.083 0.000
0.000 0.000 4.753
Y Co Zn Mg
2 1 1 1
direct
0.500 0.000 0.000
0.000 0.500 0.000
0.000 0.000 0.000
0.000 0.000 0.500
0.500 0.500 0.500
```

=====

Material: TcSb2Pb
Method: DFT, PBE
State: relaxed

Summary:
**Electronic total energy**: -4.909 eV/atom
**Space group**: F-43m
**Energy relative to the elements, uncorrected**: 0.67 eV per atom

POSCAR file:
```
TcSb2Pb
1.0
5.049 0.000 0.000
2.525 4.373 0.000
2.525 1.458 4.123
Sb Tc Pb
2 1 1
direct
0.000 0.000 0.000
0.250 0.250 0.250
0.750 0.750 0.750
0.500 0.500 0.500
```

=====

Material: InGaTe
Method: DFT, PBE
State: relaxed

Summary:
**Electronic total energy**: -3.005 eV/atom
**Space group**: I4mm
**Energy relative to the elements, uncorrected**: -0.04 eV per atom
**Offset from the most stable computed form**: 0.129 eV per atom

POSCAR file:
```
InGaTe
1.0
3.790 0.000 0.000
0.000 3.790 0.000
-1.895 -1.895 5.665
In Te Ga
1 1 1
direct
0.616 0.616 0.233
0.304 0.304 0.608
0.930 0.930 0.859
```

=====

Material: Mg8AlGa6
Method: DFT, PBE
State: relaxed

Summary:
**Electronic total energy**: -2.335 eV/atom
**Space group**: R-3
**Formation energy**: -0.36 eV per formula unit

POSCAR file:
```
Mg8AlGa6
1.0
7.886 0.000 0.000
3.943 6.829 0.000
3.943 2.276 5.987
Al Mg Ga
1 8 6
direct
0.000 0.000 0.000
0.543 0.224 0.345
0.457 0.776 0.655
0.776 0.112 0.655
0.666 0.666 0.001
0.224 0.888 0.345
0.888 0.543 0.345
0.334 0.334 0.999
0.112 0.457 0.655
0.060 0.735 0.826
0.735 0.380 0.826
0.940 0.265 0.174
0.265 0.620 0.174
0.380 0.060 0.826
0.620 0.940 0.174
```

=====

Material: Nb3FeAg
Method: DFT, PBE
State: relaxed

Summary:
**Electronic total energy**: -7.605 eV/atom
**Space group**: Pm-3m
**Formation energy**: 3.50 eV per formula unit
**Offset from the most stable computed form**: 0.000 eV per atom

POSCAR file:
```
Nb3FeAg
1.0
-3.653 2.537 -1.161
-1.997 -3.713 -1.832
-1.949 -0.951 4.053
Ag Nb Fe
1 3 1
direct
0.500 0.500 0.500
0.500 0.000 0.000
0.000 0.000 0.500
0.000 0.500 0.000
0.000 0.000 0.000
```